1.
{"formula": "Ca4SmDy3Te8", "functional": "PBE", "state": "relaxed", "dft_energy_ev_per_atom": -4.69, "e_form_raw_kcal_per_mol_atoms": -33.75, "cell": [[-2.8360, -1.8948, 8.1125], [4.1589, -7.9011, -0.3915], [4.5701, 7.3793, -1.4521]], "species": ["Te", "Te", "Te", "Te", "Te", "Te", "Te", "Te", "Ca", "Ca", "Ca", "Ca", "Sm", "Dy", "Dy", "Dy"], "fractional_positions": [[0.7491, 0.2528, 0.0038], [0.2546, 0.2528, 0.0038], [0.2519, 0.2555, 0.5037], [0.7490, 0.2528, 0.4980], [0.2509, 0.7472, 0.9962], [0.7454, 0.7472, 0.9962], [0.2510, 0.7472, 0.5020], [0.7481, 0.7445, 0.4963], [0.5000, 0.0000, 0.0000], [0.0000, 0.0000, 0.0000], [0.5000, 0.0000, 0.5000], [0.0000, 0.0000, 0.5000], [0.0000, 0.5000, 0.0000], [0.5000, 0.5000, 0.0000], [0.5000, 0.5000, 0.5000], [0.0000, 0.5000, 0.5000]]}


2.
{"formula": "Ca3SmDy2Te6", "functional": "PBE", "state": "relaxed", "dft_energy_ev_per_atom": -4.70, "e_form_raw_kcal_per_mol_atoms": -33.85, "cell": [[-1.8979, 1.8108, -3.5347], [-7.9082, -3.3187, 2.5459], [1.4197, 7.8525, 6.0013]], "species": ["Ca", "Ca", "Ca", "Te", "Te", "Te", "Te", "Te", "Te", "Dy", "Dy", "Sm"], "fractional_positions": [[0.8348, 0.1687, 0.6697], [0.1652, 0.8313, 0.3303], [0.5000, 0.5000, 0.0000], [0.6681, 0.0854, 0.3362], [0.3319, 0.9146, 0.6638], [0.6694, 0.5774, 0.3388], [0.3306, 0.4226, 0.6612], [0.0007, 0.2532, 0.0015], [0.9993, 0.7468, 0.9985], [0.1637, 0.3265, 0.3275], [0.8363, 0.6735, 0.6725], [0.5000, 0.0000, 0.0000]]}


3.
{"formula": "Ca3SmDy3Te8", "functional": "PBE", "state": "relaxed", "dft_energy_ev_per_atom": -4.80, "e_form_raw_kcal_per_mol_atoms": -34.29, "cell": [[-4.4595, -5.0742, 5.5923], [-1.5040, -0.6002, -8.6201], [7.6697, -3.0621, 3.3377]], "species": ["Dy", "Dy", "Dy", "Te", "Te", "Te", "Te", "Te", "Te", "Te", "Te", "Ca", "Ca", "Ca", "Sm"], "fractional_positions": [[0.5000, 0.5000, 0.5000], [0.0000, 0.5000, 0.5000], [0.5000, 0.0000, 0.5000], [0.2517, 0.5034, 0.2556], [0.7464, 0.0059, 0.2523], [0.2536, 0.9941, 0.7477], [0.2540, 0.5081, 0.7484], [0.7405, 0.9941, 0.7477], [0.7460, 0.4919, 0.2516], [0.7483, 0.4966, 0.7444], [0.2595, 0.0059, 0.2523], [0.0000, 0.0000, 0.0000], [0.5000, 0.5000, 0.0000], [0.0000, 0.5000, 0.0000], [0.0000, 0.0000, 0.5000]]}


4.
{"formula": "CaSmDy2Te4", "functional": "PBE", "state": "relaxed", "dft_energy_ev_per_atom": -4.95, "e_form_raw_kcal_per_mol_atoms": -32.02, "cell": [[-0.0002, 4.3547, 0.4694], [-7.1255, -0.2936, 2.7201], [0.2653, -0.8210, 7.6167]], "species": ["Dy", "Dy", "Te", "Te", "Te", "Te", "Sm", "Ca"], "fractional_positions": [[0.5000, 0.0000, 0.5000], [0.0000, 0.0000, 0.0000], [0.5000, 0.7553, 0.2498], [0.0000, 0.7559, 0.7459], [0.5000, 0.2447, 0.7502], [0.0000, 0.2441, 0.2541], [0.5000, 0.5000, 0.0000], [0.0000, 0.5000, 0.5000]]}


5.
{"formula": "Ca3Sm2DyTe6", "functional": "PBE", "state": "relaxed", "dft_energy_ev_per_atom": -4.72, "e_form_raw_kcal_per_mol_atoms": -34.18, "cell": [[7.6534, 0.0033, -0.0001], [-3.8220, 6.6307, -0.0001], [-1.2783, -2.2134, 7.3904]], "species": ["Te", "Te", "Te", "Te", "Te", "Te", "Sm", "Sm", "Ca", "Ca", "Ca", "Dy"], "fractional_positions": [[0.4112, 0.0825, 0.2487], [0.0825, 0.4112, 0.2487], [0.9175, 0.5888, 0.7513], [0.5888, 0.9175, 0.7513], [0.2445, 0.2445, 0.7495], [0.7555, 0.7555, 0.2505], [0.3343, 0.6657, 0.0000], [0.6657, 0.3343, 0.0000], [0.8312, 0.1688, 0.5000], [0.5000, 0.5000, 0.5000], [0.1688, 0.8312, 0.5000], [0.0000, 0.0000, 0.0000]]}


6.
{"formula": "CaSmDyTh", "functional": "PBE", "state": "relaxed", "dft_energy_ev_per_atom": -4.46, "formation_enthalpy_0k_ev_per_atom": 0.2281, "cell": [[5.7722, 0.0000, 0.0000], [2.8861, 4.9989, 0.0000], [2.8861, 1.6663, 4.7130]], "species": ["Th", "Dy", "Sm", "Ca"], "fractional_positions": [[0.7500, 0.7500, 0.7500], [0.0000, 0.0000, 0.0000], [0.5000, 0.5000, 0.5000], [0.2500, 0.2500, 0.2500]]}


7.
{"formula": "CaSmDy2Tl4", "functional": "PBE", "state": "relaxed", "dft_energy_ev_per_atom": -3.54, "formation_enthalpy_0k_ev_per_atom": -0.3665, "cell": [[5.4091, 0.0000, 0.0000], [2.7045, 4.6844, 0.0000], [2.7045, 1.5615, 8.8949]], "species": ["Dy", "Dy", "Tl", "Tl", "Tl", "Tl", "Ca", "Sm"], "fractional_positions": [[0.7524, 0.7524, 0.7429], [0.2476, 0.2476, 0.2571], [0.6254, 0.6254, 0.1239], [0.8755, 0.8755, 0.3736], [0.3746, 0.3746, 0.8761], [0.1245, 0.1245, 0.6264], [0.5000, 0.5000, 0.5000], [0.0000, 0.0000, 0.0000]]}


8.
{"formula": "CaSmDyTl", "functional": "PBE", "state": "relaxed", "dft_energy_ev_per_atom": -3.49, "formation_enthalpy_0k_ev_per_atom": -0.0635, "cell": [[5.5506, 0.0000, 0.0000], [2.7753, 4.8069, 0.0000], [2.7753, 1.6023, 4.5320]], "species": ["Dy", "Ca", "Tl", "Sm"], "fractional_positions": [[0.2500, 0.2500, 0.2500], [0.0000, 0.0000, 0.0000], [0.5000, 0.5000, 0.5000], [0.7500, 0.7500, 0.7500]]}


9.
{"formula": "CaSm2DyTl4", "functional": "PBE", "state": "relaxed", "dft_energy_ev_per_atom": -3.56, "formation_enthalpy_0k_ev_per_atom": -0.3759, "cell": [[-4.1676, -1.2323, 3.2683], [-4.6719, -1.8078, -2.1154], [0.0197, -9.4029, 1.0033]], "species": ["Sm", "Sm", "Tl", "Tl", "Tl", "Tl", "Ca", "Dy"], "fractional_positions": [[0.2532, 0.2532, 0.2403], [0.7468, 0.7468, 0.7597], [0.3774, 0.3774, 0.8677], [0.1270, 0.1270, 0.6190], [0.6226, 0.6226, 0.1323], [0.8730, 0.8730, 0.3810], [0.0000, 0.0000, 0.0000], [0.5000, 0.5000, 0.5000]]}


10.
{"formula": "CaSmDyTm", "functional": "PBE", "state": "relaxed", "dft_energy_ev_per_atom": -3.80, "formation_enthalpy_0k_ev_per_atom": 0.1480, "cell": [[-3.2634, 3.2961, -3.3894], [-1.9711, -2.0696, -4.9833], [-5.5918, -1.1637, -0.6162]], "species": ["Ca", "Dy", "Sm", "Tm"], "fractional_positions": [[0.2500, 0.2500, 0.2500], [0.0000, 0.0000, 0.0000], [0.5000, 0.5000, 0.5000], [0.7500, 0.7500, 0.7500]]}


11.
{"formula": "CaSm2DyY4", "functional": "PBE", "state": "relaxed", "dft_energy_ev_per_atom": -4.81, "formation_enthalpy_0k_ev_per_atom": 0.4282, "cell": [[1.1405, -6.2820, -7.2321], [-0.5698, -7.4987, 6.0424], [-6.3365, 10.2030, 0.1188]], "species": ["Sm", "Sm", "Sm", "Sm", "Y", "Y", "Y", "Y", "Y", "Y", "Y", "Y", "Dy", "Dy", "Ca", "Ca"], "fractional_positions": [[0.5000, 0.0000, 0.0000], [0.5000, 0.5000, 0.0000], [0.5000, 0.0000, 0.5000], [0.0000, 0.0000, 0.5000], [0.7490, 0.2524, 0.0008], [0.7523, 0.2490, 0.5008], [0.2514, 0.2547, 0.9891], [0.7486, 0.7453, 0.0109], [0.2476, 0.7510, 0.4992], [0.2510, 0.7476, 0.9992], [0.7547, 0.7514, 0.4891], [0.2453, 0.2486, 0.5109], [0.0000, 0.5000, 0.0000], [0.0000, 0.5000, 0.5000], [0.5000, 0.5000, 0.5000], [0.0000, 0.0000, 0.0000]]}


12.
{"formula": "CaSm6Dy3Y2", "functional": "PBE", "state": "relaxed", "dft_energy_ev_per_atom": -4.72, "formation_enthalpy_0k_ev_per_atom": 0.0370, "cell": [[-5.9100, -2.0182, -0.5386], [4.5309, -3.9899, 1.6858], [-1.4558, 4.5793, 10.8926]], "species": ["Sm", "Sm", "Sm", "Sm", "Sm", "Sm", "Y", "Y", "Dy", "Dy", "Dy", "Ca"], "fractional_positions": [[0.0854, 0.4250, 0.2537], [0.9146, 0.5750, 0.7463], [0.7460, 0.7460, 0.2543], [0.5750, 0.9146, 0.7463], [0.4250, 0.0854, 0.2537], [0.2540, 0.2540, 0.7457], [0.3334, 0.6666, 0.0000], [0.6666, 0.3334, 0.0000], [0.5000, 0.5000, 0.5000], [0.8337, 0.1663, 0.5000], [0.1663, 0.8337, 0.5000], [0.0000, 0.0000, 0.0000]]}


13.
{"formula": "CaSm3Dy2Y6", "functional": "PBE", "state": "relaxed", "dft_energy_ev_per_atom": -5.29, "formation_enthalpy_0k_ev_per_atom": 0.0520, "cell": [[6.2459, -0.0006, 0.0101], [-3.1220, 5.4096, 0.0101], [-1.0579, -1.8317, 11.7268]], "species": ["Sm", "Sm", "Sm", "Y", "Y", "Y", "Y", "Y", "Y", "Ca", "Dy", "Dy"], "fractional_positions": [[0.5000, 0.5000, 0.5000], [0.1655, 0.8345, 0.5000], [0.8345, 0.1655, 0.5000], [0.2543, 0.2543, 0.7487], [0.5768, 0.9156, 0.7489], [0.0844, 0.4232, 0.2511], [0.4232, 0.0844, 0.2511], [0.9156, 0.5768, 0.7489], [0.7457, 0.7457, 0.2513], [0.0000, 0.0000, 0.0000], [0.3334, 0.6666, 0.0000], [0.6666, 0.3334, 0.0000]]}


14.
{"formula": "CaDySn", "functional": "PBE", "state": "relaxed", "dft_energy_ev_per_atom": -3.95, "formation_enthalpy_0k_ev_per_atom": -0.4122, "cell": [[-2.0227, 1.3312, -2.6341], [-2.9360, -0.5823, 1.9602], [3.0799, 6.1566, 3.1765]], "species": ["Dy", "Ca", "Sn"], "fractional_positions": [[0.9284, 0.9284, 0.8568], [0.6343, 0.6343, 0.2686], [0.2873, 0.2873, 0.5746]]}


15.
{"formula": "Ca2DySn", "functional": "PBE", "state": "relaxed", "dft_energy_ev_per_atom": -3.06, "polymorph_energy_mev_per_atom": 459, "formation_enthalpy_0k_ev_per_atom": 0.0878, "cell": [[-1.1776, -3.2940, -0.8920], [2.0600, -2.8917, 0.6536], [-4.9120, -3.2367, 11.1319]], "species": ["Dy", "Ca", "Ca", "Sn"], "fractional_positions": [[0.5000, 0.5000, 0.5000], [0.9144, 0.9144, 0.2567], [0.0856, 0.0856, 0.7433], [0.0000, 0.0000, 0.0000]]}


16.
{"formula": "CaDySn", "functional": "PBE", "state": "relaxed", "dft_energy_ev_per_atom": -3.98, "formation_enthalpy_0k_ev_per_atom": -0.4474, "cell": [[-0.4020, 5.1301, 0.8047], [-4.0679, 2.6262, -1.9191], [-3.6546, 1.8532, 3.2151]], "species": ["Ca", "Dy", "Sn"], "fractional_positions": [[0.5000, 0.5000, 0.5000], [0.0000, 0.0000, 0.0000], [0.2500, 0.2500, 0.2500]]}


17.
{"formula": "CaDy4Sn4", "functional": "PBE", "state": "relaxed", "dft_energy_ev_per_atom": -4.52, "formation_enthalpy_0k_ev_per_atom": -0.4777, "cell": [[6.1374, 0.0000, 0.0000], [0.0000, 9.9919, 0.0000], [0.0000, 0.0000, 9.9919]], "species": ["Dy", "Dy", "Dy", "Dy", "Dy", "Dy", "Dy", "Dy", "Sn", "Sn", "Sn", "Sn", "Sn", "Sn", "Sn", "Sn", "Ca", "Ca"], "fractional_positions": [[0.3906, 0.3565, 0.8900], [0.8906, 0.3900, 0.1435], [0.3906, 0.6435, 0.1100], [0.1094, 0.1435, 0.6100], [0.1094, 0.8565, 0.3900], [0.6094, 0.8900, 0.6435], [0.8906, 0.6100, 0.8565], [0.6094, 0.1100, 0.3565], [0.9039, 0.7049, 0.1477], [0.9039, 0.2951, 0.8523], [0.5961, 0.2049, 0.6477], [0.4039, 0.6477, 0.7951], [0.0961, 0.8523, 0.7049], [0.4039, 0.3523, 0.2049], [0.5961, 0.7951, 0.3523], [0.0961, 0.1477, 0.2951], [0.0000, 0.0000, 0.0000], [0.5000, 0.5000, 0.5000]]}


18.
{"formula": "CaDySn", "functional": "PBE", "state": "relaxed", "dft_energy_ev_per_atom": -3.88, "formation_enthalpy_0k_ev_per_atom": -0.3406, "cell": [[-0.6741, 2.3143, 2.8696], [-4.0763, -2.9687, 1.4367], [4.7751, -0.9949, 1.9241]], "species": ["Dy", "Ca", "Sn"], "fractional_positions": [[0.9383, 0.0000, 0.0000], [0.3841, 0.3333, 0.6667], [0.6775, 0.6667, 0.3333]]}


19.
{"formula": "Ca2DySn", "functional": "PBE", "state": "relaxed", "dft_energy_ev_per_atom": -3.52, "polymorph_energy_mev_per_atom": 0, "formation_enthalpy_0k_ev_per_atom": -0.3716, "cell": [[-1.5096, 4.2956, 2.3638], [1.7570, -1.6896, 4.1924], [4.2889, 2.0432, -0.9740]], "species": ["Ca", "Ca", "Sn", "Dy"], "fractional_positions": [[0.0000, 0.0000, 0.5000], [0.0000, 0.5000, 0.0000], [0.5000, 0.5000, 0.5000], [0.5000, 0.0000, 0.0000]]}


20.
{"formula": "Ca2DySnTe4", "functional": "PBE", "state": "relaxed", "dft_energy_ev_per_atom": -4.31, "e_form_raw_kcal_per_mol_atoms": -26.83, "cell": [[-0.6962, -2.9719, 3.2493], [-4.2833, -4.2820, -4.8340], [4.6080, -5.1181, -3.6938]], "species": ["Te", "Te", "Te", "Te", "Sn", "Ca", "Ca", "Dy"], "fractional_positions": [[0.0000, 0.7467, 0.7463], [0.0000, 0.2533, 0.2537], [0.5000, 0.7441, 0.2546], [0.5000, 0.2559, 0.7454], [0.5000, 0.5000, 0.0000], [0.0000, 0.0000, 0.0000], [0.5000, 0.0000, 0.5000], [0.0000, 0.5000, 0.5000]]}


21.
{"formula": "SrCaDy", "functional": "PBE", "state": "relaxed", "dft_energy_ev_per_atom": -2.48, "polymorph_energy_mev_per_atom": 119, "formation_enthalpy_0k_ev_per_atom": 0.2833, "cell": [[-2.9594, -4.6620, 1.9189], [1.1187, -5.2901, -2.2222], [5.7670, -4.6954, 6.3914]], "species": ["Dy", "Dy", "Sr", "Sr", "Ca", "Ca"], "fractional_positions": [[0.1489, 0.1489, 0.5533], [0.8511, 0.8511, 0.4467], [0.2863, 0.2863, 0.1411], [0.7137, 0.7137, 0.8589], [0.4396, 0.4396, 0.6812], [0.5604, 0.5604, 0.3188]]}


22.
{"formula": "SrCaDy", "functional": "PBE", "state": "relaxed", "dft_energy_ev_per_atom": -2.60, "polymorph_energy_mev_per_atom": 0, "formation_enthalpy_0k_ev_per_atom": 0.1646, "cell": [[-2.6762, -1.3926, -2.3927], [2.3681, -2.8753, -0.9752], [-2.9491, -2.5173, 7.8621]], "species": ["Ca", "Dy", "Sr"], "fractional_positions": [[0.6788, 0.6788, 0.3575], [0.3282, 0.3282, 0.6563], [0.9931, 0.9931, 0.9862]]}


23.
{"formula": "SrCaDy", "functional": "PBE", "state": "relaxed", "dft_energy_ev_per_atom": -2.60, "polymorph_energy_mev_per_atom": 0, "formation_enthalpy_0k_ev_per_atom": 0.1645, "cell": [[-2.8889, 1.5517, -1.9893], [-0.6413, -3.0251, 2.2691], [-1.8724, 5.8723, 7.2995]], "species": ["Sr", "Dy", "Ca"], "fractional_positions": [[0.0000, 0.0000, 0.0087], [0.6667, 0.3333, 0.3408], [0.3333, 0.6667, 0.6505]]}


24.
{"formula": "Sr2CaDyTe4", "functional": "PBE", "state": "relaxed", "dft_energy_ev_per_atom": -4.40, "e_form_raw_kcal_per_mol_atoms": -36.57, "cell": [[-0.0861, 4.5429, 0.2491], [-6.3896, -0.3763, 4.6533], [6.5496, -0.1241, 4.5272]], "species": ["Sr", "Sr", "Te", "Te", "Te", "Te", "Dy", "Ca"], "fractional_positions": [[0.0000, 0.5000, 0.5000], [0.5000, 0.0000, 0.5000], [0.0000, 0.2601, 0.7686], [0.0000, 0.7399, 0.2314], [0.5000, 0.2490, 0.2333], [0.5000, 0.7510, 0.7667], [0.5000, 0.5000, 0.0000], [0.0000, 0.0000, 0.0000]]}